## CdCoO2 (PBE with a Hubbard U)

Data for crystalline CdCoO2 at its relaxed geometry.

The space group is Pnma (No. 62) and the conventional cell measures 5.5755, 3.2079 and 10.8342 Å, with angles of 90.00, 90.00 and 90.00 degrees. The distinct sites, in fractional coordinates, are Cd at (0.0948, 0.2500, 0.1411), Co at (0.0922, 0.7500, 0.3912), O at (0.1437, 0.2500, 0.7430) and O at (0.2348, 0.2500, 0.4774).

The energy comes out at -4.865 eV/atom. Its calculated density is 6.97 g cm⁻³. As for the magnetic moment: 0.75 μB/atom. As for the calculated volume: 12.11 A^3/atom.